1.
Material: Y3GaHS
Method: DFT, GGA-PBE
State: relaxed

Values from the calculation:
For the density of states at the Fermi level, the calculation gives 2.8 states/eV/f.u. As for the space-group type: P2_1/m (11). The calculation puts the electronic total energy at -6.03 eV per atom.

a = 3.907 Å, b = 8.047 Å, c = 8.435 Å
α = 100.48°, β = 90.00°, γ = 90.00°
Fractional positions:
Y 0.750 0.889 0.132
Y 0.250 0.111 0.868
Y 0.250 0.812 0.478
Y 0.750 0.188 0.522
Y 0.750 0.419 0.179
Y 0.250 0.581 0.821
Ga 0.250 0.164 0.240
Ga 0.750 0.836 0.760
H 0.250 0.087 0.595
H 0.750 0.913 0.405
S 0.250 0.654 0.155
S 0.750 0.346 0.845

***

2.
Material: AlB2MoAu
Method: DFT, GGA-PBE
State: relaxed

Values from the calculation:
For the density of states at the Fermi level, the calculation gives 4.7 states/eV/f.u. As for the space-group type: P4/mmm (123). Its formation energy is 1.736 eV/atom.

a = 4.099 Å, b = 4.099 Å, c = 4.669 Å
α = 90.00°, β = 90.00°, γ = 90.00°
Fractional positions:
Mo 0.000 0.000 0.500
B 0.000 0.500 0.000
B 0.500 0.000 0.000
Au 0.500 0.500 0.500
Al 0.000 0.000 0.000

***

3.
Material: Ac2ScGa
Method: DFT, GGA-PBE
State: relaxed

Values from the calculation:
For the density of states at the Fermi level, the calculation gives 4.9 states/eV/f.u. As for the space-group type: R-3m (166). Its formation energy is 0.289 eV/atom.

a = 3.701 Å, b = 3.701 Å, c = 12.350 Å
α = 81.38°, β = 81.38°, γ = 60.00°
Fractional positions:
Sc 0.500 0.500 0.500
Ac 0.089 0.089 0.732
Ac 0.911 0.911 0.268
Ga 0.000 0.000 0.000

***

4.
Material: MnCuSe2S
Method: DFT, GGA-PBE
State: relaxed

Values from the calculation:
For the density of states at the Fermi level, the calculation gives 4.5 states/eV/f.u. The energy relative to the elements, uncorrected comes out at 2.4 eV per formula unit. As for the space-group type: P4/mmm (123).

a = 4.893 Å, b = 4.377 Å, c = 4.893 Å
α = 90.00°, β = 90.00°, γ = 90.00°
Fractional positions:
S 0.000 0.500 0.000
Mn 0.500 0.500 0.500
Cu 0.000 0.000 0.000
Se 0.000 0.000 0.500
Se 0.500 0.000 0.000

***

5.
Material: Li3InPd6
Method: DFT, GGA-PBE
State: relaxed

Values from the calculation:
For the density of states at the Fermi level, the calculation gives 6.2 states/eV/f.u. As for the space-group type: R-3m (166). Its formation energy is -0.304 eV/atom.

a = 7.000 Å, b = 7.000 Å, c = 7.000 Å
α = 100.17°, β = 100.17°, γ = 100.17°
Fractional positions:
Li 0.561 0.856 0.856
Li 0.856 0.856 0.561
Li 0.144 0.439 0.144
Li 0.856 0.561 0.856
Li 0.144 0.144 0.439
Li 0.439 0.144 0.144
In 0.000 0.000 0.000
In 0.500 0.500 0.500
Pd 0.261 0.739 0.000
Pd 0.261 0.000 0.739
Pd 0.402 0.827 0.402
Pd 0.000 0.739 0.261
Pd 0.402 0.402 0.827
Pd 0.173 0.598 0.598
Pd 0.827 0.402 0.402
Pd 0.598 0.598 0.173
Pd 0.000 0.261 0.739
Pd 0.598 0.173 0.598
Pd 0.739 0.000 0.261
Pd 0.739 0.261 0.000

***

6.
Material: Ag5Se2S
Method: DFT, GGA-PBE
State: relaxed

Values from the calculation:
For the density of states at the Fermi level, the calculation gives 4.2 states/eV/f.u. The energy relative to the elements, uncorrected comes out at -0.1 eV per formula unit. As for the space-group type: P1 (1).

a = 6.307 Å, b = 4.441 Å, c = 7.471 Å
α = 107.27°, β = 114.87°, γ = 90.04°
Fractional positions:
Ag 0.600 0.826 0.693
Ag 0.935 0.162 0.364
Ag 0.084 0.824 0.690
Ag 0.421 0.162 0.364
Ag 0.178 0.492 0.028
Se 0.354 0.341 0.722
Se 0.660 0.646 0.333
S 0.991 0.992 0.028

***

7.
Material: RbTaTl3
Method: DFT, GGA-PBE
State: relaxed

Values from the calculation:
For the density of states at the Fermi level, the calculation gives 6.5 states/eV/f.u. As for the space-group type: Pm-3m (221). Its formation energy is 1.896 eV/atom.

a = 6.068 Å, b = 6.068 Å, c = 6.068 Å
α = 90.00°, β = 90.00°, γ = 90.00°
Fractional positions:
Tl 0.000 0.500 0.000
Tl 0.000 0.000 0.500
Tl 0.500 0.000 0.000
Rb 0.000 0.000 0.000
Ta 0.500 0.500 0.500

***

8.
Material: LiMg6B
Method: DFT, GGA-PBE
State: relaxed

Values from the calculation:
For the density of states at the Fermi level, the calculation gives 2.2 states/eV/f.u. As for the space-group type: Amm2 (38). Its formation energy is 0.218 eV/atom.

a = 6.311 Å, b = 6.311 Å, c = 4.022 Å
α = 90.00°, β = 90.00°, γ = 94.85°
Fractional positions:
Li 0.100 0.900 0.500
Mg 0.602 0.888 0.500
Mg 0.112 0.398 0.500
Mg 0.791 0.553 0.000
Mg 0.447 0.209 0.000
Mg 0.310 0.690 0.000
Mg 0.893 0.107 0.000
B 0.745 0.255 0.500